Entry 1:
A plane-wave DFT calculation with PBE was carried out for a relaxed structure of KMn2Cl.

formation energy from raw total energies	0.105	eV per atom
distance to the lowest polymorph of the same formula	20.8	kJ/mol of formula units

a = 3.2866 Å, b = 3.2866 Å, c = 8.2610 Å
α = 90.00°, β = 90.00°, γ = 90.00°
Closest atoms and distances in Å follow each position.
Atoms (fractional coordinates):
K1 0.0000 0.0000 0.0000  4 Cl 3.08, 4 K 3.29
Mn1 0.0000 0.0000 0.5279  4 Mn 2.75, 4 Cl 2.99
Mn2 0.5000 0.5000 0.3498  4 Mn 2.75
Cl1 0.5000 0.5000 0.7556  4 Mn 2.99, 4 K 3.08, 4 Cl 3.29

---

Entry 2:
A plane-wave DFT calculation with PBE was carried out for a relaxed structure of Cd2IrRh.

calculated formation energy	0.15	eV per atom

a = 2.9106 Å, b = 3.9726 Å, c = 5.8674 Å
α = 90.00°, β = 90.00°, γ = 90.00°
Closest atoms and distances in Å follow each position.
Atoms (fractional coordinates):
Cd1 0.0000 0.0000 0.2492  4 Rh 2.86, 4 Ir 2.87, 4 Cd 2.91-2.94
Cd2 0.0000 0.0000 0.7508  4 Rh 2.86, 4 Ir 2.87, 4 Cd 2.91-2.94
Ir1 0.5000 0.5000 0.5000  8 Cd 2.87, 2 Ir 2.91, 2 Rh 2.93
Rh1 0.5000 0.5000 0.0000  8 Cd 2.86, 2 Rh 2.91, 2 Ir 2.93

---

Entry 3:
A plane-wave DFT calculation with PBE was carried out for a relaxed structure of La3Pr2Ru2.

calculated formation energy	-0.21	eV per atom

a = 6.5709 Å, b = 6.5709 Å, c = 9.1718 Å
α = 113.72°, β = 113.72°, γ = 35.33°
Closest atoms and distances in Å follow each position.
Atoms (fractional coordinates):
La1 0.0000 0.0000 0.0000  4 Ru 3.11
La2 0.1176 0.1176 0.4222  3 Ru 2.88-3.06
La3 0.8824 0.8824 0.5778  3 Ru 2.88-3.06
Pr1 0.3268 0.3268 0.1890  2 Ru 2.91
Pr2 0.6732 0.6732 0.8110  2 Ru 2.91
Ru1 0.3227 0.3227 0.7574  5 La 2.88-3.11, 2 Pr 2.91
Ru2 0.6773 0.6773 0.2426  5 La 2.88-3.11, 2 Pr 2.91

---

Listing uncorrected energy for the structures above in their given order: -5.216; -4.361; -6.342 eV per atom.